No. 1
First-principles (PBE) data for a relaxed Ac2MnAs3Pd4 crystal, as listed in the Alexandria database. Values from VASP.

calculated total energy = -6.01 eV per atom
formation energy from the elements = -0.80 eV per atom
M_tot = 4.37 Bohr magnetons per cell

Geometry as Quantum ESPRESSO input:
```
&SYSTEM
  ibrav = 0, nat = 10, ntyp = 4
/
ATOMIC_SPECIES
Ac 227.00 Ac.upf
Mn 54.94 Mn.upf
As 74.92 As.upf
Pd 106.42 Pd.upf
CELL_PARAMETERS angstrom
4.420 0.000 0.000
0.000 4.420 0.000
0.000 0.000 10.596
ATOMIC_POSITIONS crystal
Ac 0.000 0.500 0.242
Ac 0.500 0.000 0.758
Mn 0.000 0.000 0.500
As 0.000 0.500 0.868
As 0.500 0.000 0.132
As 0.500 0.500 0.500
Pd 0.000 0.000 0.000
Pd 0.000 0.500 0.629
Pd 0.500 0.000 0.371
Pd 0.500 0.500 0.000
```

No. 2
First-principles (PBE) data for a relaxed Pr8Sm4Y crystal, as listed in the Alexandria database. Values from VASP.

calculated total energy = -4.49 eV per atom
formation energy from the elements = 0.40 eV per atom
M_tot = 0.28 Bohr magnetons per cell

Geometry as Quantum ESPRESSO input:
```
&SYSTEM
  ibrav = 0, nat = 13, ntyp = 3
/
ATOMIC_SPECIES
Pr 140.91 Pr.upf
Sm 150.36 Sm.upf
Y 88.91 Y.upf
CELL_PARAMETERS angstrom
5.963 3.443 3.956
-5.963 3.443 3.956
0.000 -6.886 3.956
ATOMIC_POSITIONS crystal
Pr 0.169 0.169 0.669
Pr 0.169 0.669 0.169
Pr 0.242 0.242 0.242
Pr 0.331 0.831 0.831
Pr 0.669 0.169 0.169
Pr 0.758 0.758 0.758
Pr 0.831 0.331 0.831
Pr 0.831 0.831 0.331
Sm 0.000 0.000 0.000
Sm 0.000 0.500 0.500
Sm 0.500 0.000 0.500
Sm 0.500 0.500 0.000
Y 0.500 0.500 0.500
```

No. 3
First-principles (PBE) data for a relaxed HgPtS2 crystal, as listed in the Alexandria database. Values from VASP.

formation energy (no corrections) = -0.003 eV/atom
calculated total energy = -3.65 eV per atom
M_tot = 0.00 Bohr magnetons per cell

Geometry as Quantum ESPRESSO input:
```
&SYSTEM
  ibrav = 0, nat = 32, ntyp = 3
/
ATOMIC_SPECIES
Hg 200.59 Hg.upf
Pt 195.08 Pt.upf
S 32.06 S.upf
CELL_PARAMETERS angstrom
4.677 -5.001 0.000
4.677 5.001 0.000
-4.327 0.000 14.623
ATOMIC_POSITIONS crystal
Hg 0.105 0.874 0.915
Hg 0.126 0.895 0.585
Hg 0.298 0.457 0.918
Hg 0.457 0.298 0.418
Hg 0.543 0.702 0.582
Hg 0.702 0.543 0.082
Hg 0.874 0.105 0.415
Hg 0.895 0.126 0.085
Pt 0.086 0.698 0.350
Pt 0.265 0.314 0.167
Pt 0.302 0.914 0.150
Pt 0.314 0.265 0.667
Pt 0.686 0.735 0.333
Pt 0.698 0.086 0.850
Pt 0.735 0.686 0.833
Pt 0.914 0.302 0.650
S 0.099 0.901 0.250
S 0.111 0.371 0.543
S 0.148 0.368 0.301
S 0.206 0.577 0.080
S 0.368 0.148 0.801
S 0.371 0.111 0.043
S 0.397 0.603 0.750
S 0.423 0.794 0.420
S 0.577 0.206 0.580
S 0.603 0.397 0.250
S 0.629 0.889 0.957
S 0.632 0.852 0.199
S 0.794 0.423 0.920
S 0.852 0.632 0.699
S 0.889 0.629 0.457
S 0.901 0.099 0.750
```

No. 4
First-principles (PBE) data for a relaxed VCrTcW crystal, as listed in the Alexandria database. Values from VASP.

calculated total energy = -10.65 eV per atom
formation energy from the elements = -0.14 eV per atom
M_tot = 0.01 Bohr magnetons per cell

Geometry as Quantum ESPRESSO input:
```
&SYSTEM
  ibrav = 0, nat = 4, ntyp = 4
/
ATOMIC_SPECIES
V 50.94 V.upf
Cr 52.00 Cr.upf
Tc 98.00 Tc.upf
W 183.84 W.upf
CELL_PARAMETERS angstrom
0.000 3.035 3.035
3.035 0.000 3.035
3.035 3.035 0.000
ATOMIC_POSITIONS crystal
V 0.000 0.000 0.000
Cr 0.750 0.750 0.750
Tc 0.250 0.250 0.250
W 0.500 0.500 0.500
```

No. 5
First-principles (PBE) data for a relaxed Ac2IrBr2 crystal, as listed in the Alexandria database. Values from VASP.

formation energy (no corrections) = -1.376 eV/atom
calculated total energy = -5.46 eV per atom
M_tot = 0.00 Bohr magnetons per cell

Geometry as Quantum ESPRESSO input:
```
&SYSTEM
  ibrav = 0, nat = 5, ntyp = 3
/
ATOMIC_SPECIES
Ac 227.00 Ac.upf
Ir 192.22 Ir.upf
Br 79.90 Br.upf
CELL_PARAMETERS angstrom
3.789 -2.184 0.000
3.789 2.184 0.000
-2.741 0.000 11.649
ATOMIC_POSITIONS crystal
Ac 0.220 0.220 0.145
Ac 0.780 0.780 0.855
Ir 0.500 0.500 0.000
Br 0.051 0.051 0.681
Br 0.949 0.949 0.319
```

No. 6
First-principles (PBE) data for a relaxed Li5ErAg6 crystal, as listed in the Alexandria database. Values from VASP.

calculated total energy = -2.80 eV per atom
formation energy from the elements = -0.20 eV per atom
M_tot = 0.00 Bohr magnetons per cell

Geometry as Quantum ESPRESSO input:
```
&SYSTEM
  ibrav = 0, nat = 12, ntyp = 3
/
ATOMIC_SPECIES
Li 6.94 Li.upf
Er 167.26 Er.upf
Ag 107.87 Ag.upf
CELL_PARAMETERS angstrom
2.290 -6.862 0.000
2.290 6.862 0.000
-0.021 0.000 6.747
ATOMIC_POSITIONS crystal
Li 0.000 0.000 0.000
Li 0.327 0.673 0.500
Li 0.339 0.661 0.000
Li 0.661 0.339 0.000
Li 0.673 0.327 0.500
Er 0.000 0.000 0.500
Ag 0.174 0.826 0.231
Ag 0.174 0.826 0.769
Ag 0.499 0.499 0.227
Ag 0.501 0.501 0.773
Ag 0.826 0.174 0.231
Ag 0.826 0.174 0.769
```

No. 7
First-principles (PBE) data for a relaxed Mg2InHg2Pd5 crystal, as listed in the Alexandria database. Values from VASP.

calculated total energy = -3.60 eV per atom
formation energy from the elements = -0.35 eV per atom
M_tot = 0.00 Bohr magnetons per cell

Geometry as Quantum ESPRESSO input:
```
&SYSTEM
  ibrav = 0, nat = 20, ntyp = 4
/
ATOMIC_SPECIES
Mg 24.30 Mg.upf
In 114.82 In.upf
Hg 200.59 Hg.upf
Pd 106.42 Pd.upf
CELL_PARAMETERS angstrom
9.899 0.000 0.000
0.000 9.899 0.000
0.000 0.000 3.763
ATOMIC_POSITIONS crystal
Mg 0.144 0.356 0.000
Mg 0.356 0.856 0.000
Mg 0.644 0.144 0.000
Mg 0.856 0.644 0.000
In 0.000 0.000 0.000
In 0.500 0.500 0.000
Hg 0.148 0.648 0.000
Hg 0.352 0.148 0.000
Hg 0.648 0.852 0.000
Hg 0.852 0.352 0.000
Pd 0.000 0.500 0.500
Pd 0.137 0.155 0.500
Pd 0.155 0.863 0.500
Pd 0.345 0.363 0.500
Pd 0.363 0.655 0.500
Pd 0.500 0.000 0.500
Pd 0.637 0.345 0.500
Pd 0.655 0.637 0.500
Pd 0.845 0.137 0.500
Pd 0.863 0.845 0.500
```

No. 8
First-principles (PBE) data for a relaxed Dy2BeHg crystal, as listed in the Alexandria database. Values from VASP.

calculated total energy = -3.50 eV per atom
formation energy from the elements = -0.20 eV per atom
M_tot = 0.00 Bohr magnetons per cell

Geometry as Quantum ESPRESSO input:
```
&SYSTEM
  ibrav = 0, nat = 4, ntyp = 3
/
ATOMIC_SPECIES
Dy 162.50 Dy.upf
Be 9.01 Be.upf
Hg 200.59 Hg.upf
CELL_PARAMETERS angstrom
3.501 0.000 0.000
0.000 3.501 0.000
0.000 0.000 7.384
ATOMIC_POSITIONS crystal
Dy 0.000 0.000 0.221
Dy 0.000 0.000 0.779
Be 0.500 0.500 0.000
Hg 0.500 0.500 0.500
```

Question: What is the formula in the seventh record?
Answer: Mg2InHg2Pd5